{"formula": "ErCo5P3", "functional": "PBE", "state": "relaxed", "magnetic_moment_mub_per_atom": 0.13, "formation_enthalpy_0k_ev_per_fu": -7.65, "relative_energy_mev_per_atom": 0, "e_tot_ev_per_atom": -7.108, "lattice": [[11.699, 0.000, 0.000], [0.000, 3.632, 0.000], [0.000, 0.000, 10.258]], "species": ["Er", "Er", "Er", "Er", "Co", "Co", "Co", "Co", "Co", "Co", "Co", "Co", "Co", "Co", "Co", "Co", "Co", "Co", "Co", "Co", "Co", "Co", "Co", "Co", "P", "P", "P", "P", "P", "P", "P", "P", "P", "P", "P", "P"], "fractional_positions": [[0.203, 0.250, 0.083], [0.297, 0.750, 0.583], [0.703, 0.250, 0.417], [0.797, 0.750, 0.917], [0.008, 0.750, 0.717], [0.013, 0.750, 0.093], [0.068, 0.750, 0.468], [0.176, 0.250, 0.779], [0.199, 0.250, 0.383], [0.301, 0.750, 0.883], [0.324, 0.750, 0.279], [0.432, 0.250, 0.968], [0.487, 0.250, 0.593], [0.492, 0.250, 0.217], [0.508, 0.750, 0.783], [0.513, 0.750, 0.407], [0.568, 0.750, 0.032], [0.676, 0.250, 0.721], [0.699, 0.250, 0.117], [0.801, 0.750, 0.617], [0.824, 0.750, 0.221], [0.932, 0.250, 0.532], [0.987, 0.250, 0.907], [0.992, 0.250, 0.283], [0.109, 0.750, 0.899], [0.113, 0.250, 0.582], [0.130, 0.750, 0.270], [0.370, 0.250, 0.770], [0.387, 0.750, 0.082], [0.391, 0.250, 0.399], [0.609, 0.750, 0.601], [0.613, 0.250, 0.918], [0.630, 0.750, 0.230], [0.870, 0.250, 0.730], [0.887, 0.750, 0.418], [0.891, 0.250, 0.101]]}